The following is a DFT calculation (PBEsol) of CuSnTe3 after structural relaxation.

spin magnetization	0.000	Bohr magnetons per cell
offset from the most stable computed form	0.000	eV per atom
calculated volume	133.5	Å³/cell

a b c (Å): 5.1107 5.1107 5.1107
angles (deg): 90.00 90.00 90.00
Fractional positions:
Te  0.0000  0.5000  0.0000
Te  0.0000  0.0000  0.5000
Te  0.5000  0.0000  0.0000
Sn  0.5000  0.5000  0.5000
Cu  0.0000  0.0000  0.0000


The following is a DFT calculation (PBEsol) of CoTcNi2N after structural relaxation.

spin magnetization	3.291	Bohr magnetons per cell
calculated volume	52.3	Å³/cell
calculated total energy	-38.457	eV per cell

a b c (Å): 3.6849 3.7685 3.7685
angles (deg): 90.00 90.00 90.00
Last column: magnetic moment on the atom in μB.
Fractional positions:
Ni  0.0000  0.0000  0.5000  0.32
Ni  0.0000  0.5000  0.0000  0.32
Co  0.5000  0.0000  0.0000  1.30
Tc  0.5000  0.5000  0.5000  1.23
N  0.0000  0.0000  0.0000  0.05